An optimized crystal structure of LaMn2BrO. Source: Alexandria, functional PBE with a Hubbard U.

a b c (Å): 4.304 5.803 4.304
angles (deg): 90.00 90.00 90.00
Last column: magnetic moment on the atom in μB.
Fractional positions:
Br  0.500  0.500  0.500  0.02
O  0.000  0.000  0.000  0.01
La  0.000  0.500  0.000  -0.16
Mn  0.500  0.000  0.000  4.39
Mn  0.000  0.000  0.500  4.54

- symmetry = P4/mmm (123)
- magnetization (μB per formula unit) = 8.9
- D(E_F) (states/eV per atom) = 0.65
- raw total energy (eV per atom) = -5.971